1.
# La5PrTh PBE-GGA optimized geometry
data_La5PrTh
_chemical_formula_sum 'La5 Pr1 Th1'
_symmetry_space_group_name_H-M 'P -1'
_symmetry_Int_Tables_number 2
_cell_length_a 5.188
_cell_length_b 5.671
_cell_length_c 8.740
_cell_angle_alpha 97.90
_cell_angle_beta 90.23
_cell_angle_gamma 90.27
loop_
_symmetry_equiv_pos_as_xyz
'x,y,z'
'-x,-y,-z'
loop_
_atom_site_label
_atom_site_type_symbol
_atom_site_fract_x
_atom_site_fract_y
_atom_site_fract_z
La1 La 0.000 0.000 0.000
La2 La 0.002 0.547 0.779
La3 La 0.499 0.870 0.207
Pr1 Pr 0.000 0.000 0.500
Th1 Th 0.500 0.500 0.500
# * energy of formation: 0.25 eV per atom

2.
# La4Pr3Th PBE-GGA optimized geometry
data_La4Pr3Th
_chemical_formula_sum 'La8 Pr6 Th2'
_symmetry_space_group_name_H-M 'C 1 2/m 1'
_symmetry_Int_Tables_number 12
_cell_length_a 25.891
_cell_length_b 3.538
_cell_length_c 6.353
_cell_angle_alpha 90.00
_cell_angle_beta 94.67
_cell_angle_gamma 90.00
loop_
_symmetry_equiv_pos_as_xyz
'x,y,z'
'-x,-y,-z'
'-x,y,-z'
'x,-y,z'
'x+1/2,y+1/2,z'
'-x+1/2,-y+1/2,-z'
'-x+1/2,y+1/2,-z'
'x+1/2,-y+1/2,z'
loop_
_atom_site_label
_atom_site_type_symbol
_atom_site_fract_x
_atom_site_fract_y
_atom_site_fract_z
La1 La 0.105 0.000 0.228
La2 La 0.221 0.500 0.240
Pr1 Pr 0.000 0.000 0.500
Pr2 Pr 0.143 0.000 0.745
Th1 Th 0.000 0.500 0.000
# * energy of formation: 0.20 eV per atom
# * energy above the lowest structure with this stoichiometry: 0.000 eV per atom

Calculated V (Å³ per cell), listed in the same order as above: 255 580
Calculated total energy (eV/atom), listed in the same order as above: -5.01 -4.99
Calculated density of states at the Fermi level (states/eV/cell), listed in the same order as above: 11.27 22.98